# 1
# Na3ScBr6 (PBE, relaxed)
data_Na3ScBr6
_symmetry_space_group_name_H-M 'F m -3 m'
_symmetry_Int_Tables_number 225
_symmetry_space_group_name_Hall '-F 4 2 3'
_cell_length_a 10.971
_cell_length_b 10.971
_cell_length_c 10.971
_cell_angle_alpha 90.00
_cell_angle_beta 90.00
_cell_angle_gamma 90.00
loop_
_atom_site_label
_atom_site_type_symbol
_atom_site_fract_x
_atom_site_fract_y
_atom_site_fract_z
Na1 Na 0.000 0.000 0.000
Na2 Na 0.250 0.250 0.250
Sc1 Sc 0.000 0.000 0.500
Br1 Br 0.000 0.000 0.259
# Offset from the most stable computed form, meV per atom: 141
# Total DFT energy (no corrections), eV per atom: -3.514
# Formation energy without anion corrections, eV/atom: -1.481
# Size of the total moment, μB per atom: 0.000



# 2
# Na3ScBr6 (PBE, relaxed)
data_Na3ScBr6
_symmetry_space_group_name_H-M 'P -3 1 c'
_symmetry_Int_Tables_number 163
_symmetry_space_group_name_Hall '-P 3 2c'
_cell_length_a 7.3764
_cell_length_b 7.3764
_cell_length_c 13.2618
_cell_angle_alpha 90.00
_cell_angle_beta 90.00
_cell_angle_gamma 120.00
loop_
_atom_site_label
_atom_site_type_symbol
_atom_site_fract_x
_atom_site_fract_y
_atom_site_fract_z
Na1 Na 0.0000 0.0000 0.2500
Na2 Na 0.3333 0.6667 0.0357
Sc1 Sc 0.3333 0.6667 0.7500
Br1 Br 0.0467 0.3675 0.6308
# Offset from the most stable computed form, meV per atom: 0
# Total DFT energy (no corrections), eV per atom: -3.654
# Formation energy without anion corrections, eV/atom: -1.622
# Size of the total moment, μB per atom: 0.000



no.,mass density (g cm⁻³)
1,2.98
2,3.15